The following is a DFT calculation (GGA-PBE) of crystalline CsBa2CdPd at its relaxed geometry.

a = 6.281 Å, b = 6.281 Å, c = 5.624 Å
α = 90.00°, β = 90.00°, γ = 90.00°
Space group P4/mmm (No. 123)
Asymmetric unit:
Cs  0.000  0.000  0.000 x1
Ba  0.000  0.500  0.500 x2
Cd  0.500  0.500  0.000 x1
Pd  0.500  0.500  0.500 x1

## Properties
E_tot = -2.33 eV/atom
energy of formation = -0.168 eV per atom
size of the total moment = 0.0 μB/f.u.